An optimized crystal structure of Fe5O8F2, computed with PBE with a Hubbard U.

Summary:
energy relative to the lowest polymorph listed for this composition: 5.83 kJ/mol of atoms

Unit cell a=4.608 b=5.491 c=12.928 alpha=101.63 beta=90.04 gamma=90.25
Fractional positions:
Fe 0.000 0.000 0.000
Fe 0.013 0.385 0.595
Fe 0.026 0.810 0.210
Fe 0.478 0.705 0.804
Fe 0.485 0.907 0.598
Fe 0.500 0.500 0.000
Fe 0.515 0.093 0.402
Fe 0.522 0.295 0.196
Fe 0.974 0.190 0.790
Fe 0.987 0.615 0.405
O 0.180 0.451 0.735
O 0.192 0.655 0.539
O 0.198 0.056 0.140
O 0.215 0.857 0.346
O 0.294 0.750 0.944
O 0.297 0.953 0.735
O 0.312 0.551 0.135
O 0.313 0.147 0.535
O 0.687 0.853 0.465
O 0.688 0.449 0.865
O 0.703 0.047 0.265
O 0.706 0.250 0.056
O 0.785 0.143 0.654
O 0.802 0.944 0.860
O 0.808 0.345 0.461
O 0.820 0.549 0.265
F 0.201 0.249 0.932
F 0.314 0.354 0.341
F 0.686 0.646 0.659
F 0.799 0.751 0.068